Entry 1:
# Li2TiMnO4 | the Alexandria database | SCAN | PBEsol geometry
# E above lowest polymorph ... 0.005 eV/atom
# Total magnetization ... 5.00 μB per cell
# Raw formation energy ... -2.589 eV per atom
# DOS at the Fermi energy ... 0.224 states/eV/atom
# Total DFT energy (no corrections) ... -10.59 eV per atom
data_Li2TiMnO4
_space_group_name_H-M_alt 'P 1 2/m 1'
_space_group_IT_number 10
_space_group_name_Hall '-P 2y'
_cell_length_a 5.164
_cell_length_b 2.927
_cell_length_c 5.273
_cell_angle_alpha 90.00
_cell_angle_beta 111.99
_cell_angle_gamma 90.00
loop_
_atom_site_label
_atom_site_type_symbol
_atom_site_fract_x
_atom_site_fract_y
_atom_site_fract_z
_atom_site_occupancy
Li1 Li 0.000 0.000 0.000 1
Li2 Li 0.000 0.500 0.500 1
Ti1 Ti 0.500 0.000 0.500 1
Mn1 Mn 0.500 0.500 0.000 1
O1 O 0.258 0.500 0.271 1
O2 O 0.280 0.000 0.738 1

---

Entry 2:
# Li2TiMnO4 | the Alexandria database | SCAN | PBEsol geometry
# E above lowest polymorph ... 0.000 eV/atom
# Total magnetization ... 7.95 μB per cell
# Raw formation energy ... -2.594 eV per atom
# DOS at the Fermi energy ... 0.315 states/eV/atom
# Total DFT energy (no corrections) ... -10.59 eV per atom
data_Li2TiMnO4
_space_group_name_H-M_alt 'I -4 m 2'
_space_group_IT_number 119
_space_group_name_Hall 'I -4 -2'
_cell_length_a 4.016
_cell_length_b 4.016
_cell_length_c 8.557
_cell_angle_alpha 90.00
_cell_angle_beta 90.00
_cell_angle_gamma 90.00
loop_
_atom_site_label
_atom_site_type_symbol
_atom_site_fract_x
_atom_site_fract_y
_atom_site_fract_z
_atom_site_occupancy
Li1 Li 0.000 0.000 0.000 1
Li2 Li 0.000 0.500 0.250 1
Ti1 Ti 0.000 0.500 0.750 1
Mn1 Mn 0.000 0.000 0.500 1
O1 O 0.000 0.000 0.250 1
O2 O 0.000 0.500 0.512 1

---

Entry 3:
# Li3TiMn3O8 | the Alexandria database | SCAN | PBEsol geometry
# E above lowest polymorph ... 0.000 eV/atom
# Total magnetization ... 48.00 μB per cell
# Raw formation energy ... -2.423 eV per atom
# Total DFT energy (no corrections) ... -10.94 eV per atom
data_Li3TiMn3O8
_space_group_name_H-M_alt 'C 1 c 1'
_space_group_IT_number 9
_space_group_name_Hall 'C -2yc'
_cell_length_a 5.937
_cell_length_b 9.857
_cell_length_c 9.527
_cell_angle_alpha 90.00
_cell_angle_beta 95.01
_cell_angle_gamma 90.00
loop_
_atom_site_label
_atom_site_type_symbol
_atom_site_fract_x
_atom_site_fract_y
_atom_site_fract_z
_atom_site_occupancy
Li1 Li 0.000 0.090 0.000 1
Li2 Li 0.022 0.404 0.514 1
Li3 Li 0.259 0.167 0.507 1
Ti1 Ti 0.244 0.342 0.060 1
Mn1 Mn 0.006 0.088 0.274 1
Mn2 Mn 0.013 0.416 0.783 1
Mn3 Mn 0.256 0.166 0.777 1
O1 O 0.022 0.073 0.653 1
O2 O 0.024 0.269 0.914 1
O3 O 0.024 0.431 0.156 1
O4 O 0.238 0.006 0.888 1
O5 O 0.240 0.490 0.912 1
O6 O 0.276 0.320 0.658 1
O7 O 0.286 0.174 0.154 1
O8 O 0.474 0.263 0.903 1

---

Entry 4:
# Li3Ti2Mn3O10 | the Alexandria database | SCAN | PBEsol geometry
# Total magnetization ... 4.00 μB per cell
# Raw formation energy ... -2.575 eV per atom
# Total DFT energy (no corrections) ... -11.26 eV per atom
data_Li3Ti2Mn3O10
_space_group_name_H-M_alt 'P -1'
_space_group_IT_number 2
_space_group_name_Hall '-P 1'
_cell_length_a 4.957
_cell_length_b 5.160
_cell_length_c 7.628
_cell_angle_alpha 75.69
_cell_angle_beta 75.38
_cell_angle_gamma 81.22
loop_
_atom_site_label
_atom_site_type_symbol
_atom_site_fract_x
_atom_site_fract_y
_atom_site_fract_z
_atom_site_occupancy
Li1 Li 0.000 0.000 0.000 1
Li2 Li 0.492 0.736 0.098 1
Ti1 Ti 0.031 0.379 0.185 1
Mn1 Mn 0.008 0.186 0.607 1
Mn2 Mn 0.500 0.500 0.500 1
O1 O 0.193 0.842 0.572 1
O2 O 0.214 0.624 0.973 1
O3 O 0.232 0.067 0.148 1
O4 O 0.242 0.503 0.347 1
O5 O 0.253 0.309 0.714 1

---

Entry 5:
# Li3TiMn2O6 | the Alexandria database | SCAN | PBEsol geometry
# Total magnetization ... 18.01 μB per cell
# Raw formation energy ... -2.454 eV per atom
# DOS at the Fermi energy ... 0.337 states/eV/atom
# Total DFT energy (no corrections) ... -10.55 eV per atom
data_Li3TiMn2O6
_space_group_name_H-M_alt 'C 1 2/m 1'
_space_group_IT_number 12
_space_group_name_Hall '-C 2y'
_cell_length_a 13.584
_cell_length_b 2.885
_cell_length_c 5.783
_cell_angle_alpha 90.00
_cell_angle_beta 101.64
_cell_angle_gamma 90.00
loop_
_atom_site_label
_atom_site_type_symbol
_atom_site_fract_x
_atom_site_fract_y
_atom_site_fract_z
_atom_site_occupancy
Li1 Li 0.000 0.000 0.000 1
Li2 Li 0.161 0.500 0.324 1
Ti1 Ti 0.000 0.000 0.500 1
Mn1 Mn 0.167 0.500 0.839 1
O1 O 0.005 0.500 0.270 1
O2 O 0.152 0.000 0.593 1
O3 O 0.166 0.000 0.070 1

---

Entry 6:
# Li3TiMn4O8 | the Alexandria database | SCAN | PBEsol geometry
# E above lowest polymorph ... 0.016 eV/atom
# Total magnetization ... 55.41 μB per cell
# Raw formation energy ... -2.259 eV per atom
# DOS at the Fermi energy ... 0.319 states/eV/atom
# Total DFT energy (no corrections) ... -11.39 eV per atom
data_Li3TiMn4O8
_space_group_name_H-M_alt 'C 1 2/m 1'
_space_group_IT_number 12
_space_group_name_Hall '-C 2y'
_cell_length_a 10.425
_cell_length_b 5.727
_cell_length_c 10.062
_cell_angle_alpha 90.00
_cell_angle_beta 111.03
_cell_angle_gamma 90.00
loop_
_atom_site_label
_atom_site_type_symbol
_atom_site_fract_x
_atom_site_fract_y
_atom_site_fract_z
_atom_site_occupancy
Li1 Li 0.000 0.000 0.000 1
Li2 Li 0.000 0.500 0.500 1
Li3 Li 0.011 0.249 0.750 1
Ti1 Ti 0.238 0.500 0.270 1
Mn1 Mn 0.000 0.000 0.500 1
Mn2 Mn 0.000 0.500 0.000 1
Mn3 Mn 0.239 0.000 0.256 1
Mn4 Mn 0.250 0.250 0.000 1
Mn5 Mn 0.250 0.250 0.500 1
O1 O 0.114 0.257 0.135 1
O2 O 0.125 0.500 0.387 1
O3 O 0.128 0.000 0.385 1
O4 O 0.130 0.249 0.621 1
O5 O 0.143 0.500 0.878 1
O6 O 0.150 0.000 0.874 1

---

Entry 7:
# Li3TiMn3O8 | the Alexandria database | SCAN | PBEsol geometry
# E above lowest polymorph ... 0.013 eV/atom
# Total magnetization ... 12.00 μB per cell
# Raw formation energy ... -2.410 eV per atom
# Total DFT energy (no corrections) ... -10.93 eV per atom
data_Li3TiMn3O8
_space_group_name_H-M_alt 'P -1'
_space_group_IT_number 2
_space_group_name_Hall '-P 1'
_cell_length_a 5.762
_cell_length_b 5.852
_cell_length_c 5.905
_cell_angle_alpha 118.22
_cell_angle_beta 117.92
_cell_angle_gamma 92.05
loop_
_atom_site_label
_atom_site_type_symbol
_atom_site_fract_x
_atom_site_fract_y
_atom_site_fract_z
_atom_site_occupancy
Li1 Li 0.000 0.000 0.000 1
Li2 Li 0.000 0.500 0.500 1
Li3 Li 0.500 0.000 0.000 1
Ti1 Ti 0.000 0.000 0.500 1
Mn1 Mn 0.000 0.500 0.000 1
Mn2 Mn 0.500 0.000 0.500 1
Mn3 Mn 0.500 0.500 0.000 1
O1 O 0.222 0.749 0.451 1
O2 O 0.247 0.710 0.984 1
O3 O 0.248 0.206 0.477 1
O4 O 0.253 0.225 0.948 1

---

Entry 8:
# Li5Ti2Mn5O12 | the Alexandria database | SCAN | PBEsol geometry
# Total magnetization ... 16.02 μB per cell
# Raw formation energy ... -2.382 eV per atom
# DOS at the Fermi energy ... 0.039 states/eV/atom
# Total DFT energy (no corrections) ... -11.13 eV per atom
data_Li5Ti2Mn5O12
_space_group_name_H-M_alt 'C 1 2 1'
_space_group_IT_number 5
_space_group_name_Hall 'C 2y'
_cell_length_a 5.156
_cell_length_b 8.830
_cell_length_c 9.754
_cell_angle_alpha 90.00
_cell_angle_beta 98.23
_cell_angle_gamma 90.00
loop_
_atom_site_label
_atom_site_type_symbol
_atom_site_fract_x
_atom_site_fract_y
_atom_site_fract_z
_atom_site_occupancy
Li1 Li 0.000 0.000 0.000 1
Li2 Li 0.241 0.828 0.243 1
Li3 Li 0.249 0.495 0.243 1
Ti1 Ti 0.000 0.158 0.500 1
Ti2 Ti 0.000 0.666 0.000 1
Mn1 Mn 0.000 0.335 0.000 1
Mn2 Mn 0.000 0.485 0.500 1
Mn3 Mn 0.000 0.831 0.500 1
Mn4 Mn 0.240 0.157 0.245 1
O1 O 0.122 0.504 0.879 1
O2 O 0.122 0.999 0.371 1
O3 O 0.125 0.316 0.374 1
O4 O 0.128 0.815 0.876 1
O5 O 0.149 0.167 0.886 1
O6 O 0.149 0.657 0.386 1

---

Repeat the seventh record exactly.
# Li3TiMn3O8 | the Alexandria database | SCAN | PBEsol geometry
# E above lowest polymorph ... 0.013 eV/atom
# Total magnetization ... 12.00 μB per cell
# Raw formation energy ... -2.410 eV per atom
# Total DFT energy (no corrections) ... -10.93 eV per atom
data_Li3TiMn3O8
_space_group_name_H-M_alt 'P -1'
_space_group_IT_number 2
_space_group_name_Hall '-P 1'
_cell_length_a 5.762
_cell_length_b 5.852
_cell_length_c 5.905
_cell_angle_alpha 118.22
_cell_angle_beta 117.92
_cell_angle_gamma 92.05
loop_
_atom_site_label
_atom_site_type_symbol
_atom_site_fract_x
_atom_site_fract_y
_atom_site_fract_z
_atom_site_occupancy
Li1 Li 0.000 0.000 0.000 1
Li2 Li 0.000 0.500 0.500 1
Li3 Li 0.500 0.000 0.000 1
Ti1 Ti 0.000 0.000 0.500 1
Mn1 Mn 0.000 0.500 0.000 1
Mn2 Mn 0.500 0.000 0.500 1
Mn3 Mn 0.500 0.500 0.000 1
O1 O 0.222 0.749 0.451 1
O2 O 0.247 0.710 0.984 1
O3 O 0.248 0.206 0.477 1
O4 O 0.253 0.225 0.948 1